GGA+U NpCoAsO6, optimized geometry; V = 12.41 Å³/atom; DOS(E_F) = 6.88 states/eV/f.u.; VASP energy = -7.397 eV per atom; magnetic moment = 3.01 μB/f.u.
1.0
-4.4940 2.6820 -1.3794
0.6858 -5.1284 -1.5878
-3.9345 -2.8058 7.3633
Np Co As O
2 2 2 12
direct
0.6667 0.3333 0.2500 Np
0.3333 0.6667 0.7500 Np
0.0000 0.0000 0.0000 Co
0.0000 0.0000 0.5000 Co
0.3333 0.6667 0.2500 As
0.6667 0.3333 0.7500 As
0.6642 0.6584 0.1303 O
0.9942 0.3358 0.1303 O
0.3358 0.9942 0.6303 O
0.0058 0.6642 0.8697 O
0.3416 0.3358 0.3697 O
0.9942 0.6584 0.3697 O
0.6584 0.9942 0.8697 O
0.6642 0.0058 0.3697 O
0.0058 0.3416 0.6303 O
0.3416 0.0058 0.1303 O
0.6584 0.6642 0.6303 O
0.3358 0.3416 0.8697 O